Density functional theory data (PBE) for a relaxed structure of MnFeCo2.

a = 4.7212 Å, b = 4.7212 Å, c = 4.7212 Å
α = 145.08°, β = 128.92°, γ = 63.37°
Last column: magnetic moment on the atom in μB.
Positions (direct):
Fe 0.2500 0.7500 0.5000  2.45
Co 0.0034 0.0034 0.0000  1.78
Co 0.4966 0.4966 0.0000  1.78
Mn 0.7500 0.2500 0.5000  2.74

Crystal system: orthorhombic
Volume, Å³/cell: 46
ΔE to the lowest computed polymorph, eV per atom: 0.113
Formation energy, eV/atom: 0.07
Density of states at the Fermi level, states/eV per atom: 1.03
Raw total energy, eV per atom: -7.891